No. 1
# ScCd2W

A geometry-optimized ScCd2W structure (PBE-GGA, the Alexandria database).

Total moment = 0.00 μB per formula unit
Raw total energy = -19.91 eV/cell
DOS at the Fermi energy = 2.4 states/eV per cell

Lattice parameters (Å, degrees): 2.9780 4.2598 6.2044 90.00 90.00 90.00
Last column: nearest neighbours and their distance in Å.
Space group Pmm2 (No. 25)
One atom of each set of equivalent atoms:
Sc: 0.0000 0.0000 0.0000  4 W 2.93, 6 Cd 2.96-3.25, 2 Sc 2.98
Cd: 0.0000 0.0000 0.4766  2 Sc 2.96-3.25, 6 Cd 2.98-3.03, 4 W 3.05
Cd: 0.5000 0.5000 0.7280  6 Cd 2.98-3.03, 2 W 3.05-3.16, 4 Sc 3.10
W: 0.5000 0.5000 0.2190  4 Sc 2.93, 2 W 2.98, 6 Cd 3.05-3.16

No. 2
# ScCdW2

A geometry-optimized ScCdW2 structure (PBE-GGA, the Alexandria database).

Total moment = 0.00 μB per formula unit
Raw total energy = -94.36 eV/cell
DOS at the Fermi energy = 10.3 states/eV per cell

Lattice parameters (Å, degrees): 2.9144 2.9144 30.0619 90.00 90.00 120.00
Last column: nearest neighbours and their distance in Å.
Space group R3m (No. 160, hexagonal axes)
One atom of each set of equivalent atoms:
Sc: 0.0000 0.0000 0.0000  6 Sc 2.91, 3 W 2.94, 3 Cd 3.18
Cd: 0.0000 0.0000 0.2436  6 Cd 2.91, 3 W 3.06, 3 Sc 3.18
W: 0.0000 0.0000 0.4921  9 W 2.90-2.91, 3 Cd 3.06
W: 0.0000 0.0000 0.7470  9 W 2.90-2.91, 3 Sc 2.94

No. 3
# Y6ScCd5

A geometry-optimized Y6ScCd5 structure (PBE-GGA, the Alexandria database).

Total moment = 1.06 μB per formula unit
Raw total energy = -105.62 eV/cell
DOS at the Fermi energy = 29.7 states/eV per cell

Lattice parameters (Å, degrees): 5.2593 7.6540 15.9627 90.00 90.00 90.00
Last column: nearest neighbours and their distance in Å.
Space group Immm (No. 71)
One atom of each set of equivalent atoms:
Y: 0.0000 0.2403 0.0000  6 Cd 3.17-3.23, 2 Sc 3.30
Y: 0.0000 0.2521 0.3310  7 Cd 3.24-3.40, 1 Sc 3.32
Sc: 0.0000 0.0000 0.5000  8 Y 3.30-3.32, 4 Cd 3.60
Cd: 0.0000 0.0000 0.1666  8 Y 3.23-3.26
Cd: 0.0000 0.5000 0.1543  8 Y 3.17-3.40
Cd: 0.0000 0.5000 0.5000  8 Y 3.21-3.30

No. 4
# YScCd3

A geometry-optimized YScCd3 structure (PBE-GGA, the Alexandria database).

Total moment = 0.00 μB per formula unit
Raw total energy = -67.81 eV/cell
DOS at the Fermi energy = 18.2 states/eV per cell

Lattice parameters (Å, degrees): 3.4019 28.8316 4.8746 90.00 90.00 90.00
Last column: nearest neighbours and their distance in Å.
Space group Cmcm (No. 63)
One atom of each set of equivalent atoms:
Y: 0.0000 0.0766 0.2500  12 Cd 3.29-3.44, 2 Y 3.40
Sc: 0.0000 0.2170 0.7500  7 Cd 2.96-3.15
Cd: 0.0000 0.3197 0.7500  2 Cd 2.91, 5 Sc 2.96-3.15
Cd: 0.0000 0.3748 0.2500  3 Cd 2.90-2.91, 2 Sc 3.14
Cd: 0.0000 0.4752 0.2500  3 Cd 2.83-2.90

No. 5
# YScCd

A geometry-optimized YScCd structure (PBE-GGA, the Alexandria database).

Total moment = 0.00 μB per formula unit
Raw total energy = -28.36 eV/cell
DOS at the Fermi energy = 5.5 states/eV per cell

Lattice parameters (Å, degrees): 4.6275 4.6275 7.5034 90.00 90.00 90.00
Last column: nearest neighbours and their distance in Å.
Space group P4/nmm (No. 129, origin choice 2)
One atom of each set of equivalent atoms:
Y: 0.2500 0.2500 0.1487  5 Cd 3.02-3.36
Sc: 0.2500 0.7500 0.5000  4 Cd 2.96, 4 Sc 3.27
Cd: 0.2500 0.2500 0.7468  4 Sc 2.96, 1 Y 3.02

No. 6
# YScCd

A geometry-optimized YScCd structure (PBE-GGA, the Alexandria database).

Total moment = 0.00 μB per formula unit
Raw total energy = -57.44 eV/cell
DOS at the Fermi energy = 2.3 states/eV per cell

Lattice parameters (Å, degrees): 6.5070 5.1542 9.2111 90.00 90.00 90.00
Last column: nearest neighbours and their distance in Å.
Space group Pnma (No. 62)
One atom of each set of equivalent atoms:
Y: 0.1892 0.2500 0.0741  5 Cd 3.03-3.40
Sc: 0.0190 0.2500 0.7129  3 Cd 3.11-3.16, 2 Sc 3.32, 3 Y 3.40-3.45
Cd: 0.2100 0.2500 0.4031  5 Y 3.03-3.40, 3 Sc 3.11-3.16

No. 7
# Y2ScCd

A geometry-optimized Y2ScCd structure (PBE-GGA, the Alexandria database).

Total moment = 0.24 μB per formula unit
Raw total energy = -20.70 eV/cell
DOS at the Fermi energy = 5.2 states/eV per cell

Lattice parameters (Å, degrees): 3.5268 3.5268 8.8350 90.00 90.00 90.00
Last column: nearest neighbours and their distance in Å.
Space group P4mm (No. 99)
One atom of each set of equivalent atoms:
Y: 0.0000 0.0000 0.0000  4 Sc 3.41, 8 Y 3.53-3.59
Y: 0.5000 0.5000 0.2924  4 Cd 3.29, 8 Y 3.53-3.59
Sc: 0.5000 0.5000 0.7373  4 Cd 3.07, 4 Y 3.41
Cd: 0.0000 0.0000 0.5354  4 Sc 3.07, 4 Y 3.29

No. 8
# YScCd

A geometry-optimized YScCd structure (PBE-GGA, the Alexandria database).

Total moment = 0.00 μB per formula unit
Raw total energy = -28.53 eV/cell
DOS at the Fermi energy = 3.5 states/eV per cell

Lattice parameters (Å, degrees): 5.0910 5.0910 6.9044 90.00 90.00 120.00
Last column: nearest neighbours and their distance in Å.
Space group P6_3/mmc (No. 194)
One atom of each set of equivalent atoms:
Y: 0.0000 0.0000 0.0000  6 Sc 3.41, 6 Cd 3.41, 2 Y 3.45
Sc: 0.3333 0.6667 0.2500  3 Cd 2.94
Cd: 0.3333 0.6667 0.7500  3 Sc 2.94

No. 9
# Y2ScCd

A geometry-optimized Y2ScCd structure (PBE-GGA, the Alexandria database).

Total moment = 0.82 μB per formula unit
Raw total energy = -40.78 eV/cell
DOS at the Fermi energy = 12.2 states/eV per cell

Lattice parameters (Å, degrees): 4.7058 4.7058 9.7376 90.00 90.00 90.00
Last column: nearest neighbours and their distance in Å.
Space group I-4m2 (No. 119)
One atom of each set of equivalent atoms:
Y: 0.0000 0.0000 0.0000  4 Sc 3.33, 4 Cd 3.39, 4 Y 3.39
Y: 0.0000 0.5000 0.2500  4 Cd 3.33, 4 Sc 3.39, 4 Y 3.39
Sc: 0.0000 0.0000 0.5000  8 Y 3.33-3.39, 4 Cd 3.39
Cd: 0.0000 0.5000 0.7500  8 Y 3.33-3.39, 4 Sc 3.39

No. 10
# YScCd2

A geometry-optimized YScCd2 structure (PBE-GGA, the Alexandria database).

Total moment = 0.00 μB per formula unit
Raw total energy = -26.47 eV/cell
DOS at the Fermi energy = 11.8 states/eV per cell

Lattice parameters (Å, degrees): 3.2375 5.4106 12.5874 90.00 90.00 90.00
Last column: nearest neighbours and their distance in Å.
Space group Immm (No. 71)
One atom of each set of equivalent atoms:
Y: 0.0000 0.0000 0.0000  4 Sc 3.15, 2 Y 3.24, 2 Cd 3.32
Sc: 0.0000 0.0000 0.5000  2 Cd 2.97, 4 Y 3.15, 2 Sc 3.24
Cd: 0.0000 0.0000 0.2639  1 Sc 2.97, 6 Cd 3.17-3.24, 1 Y 3.32

No. 11
# YScCd4

A geometry-optimized YScCd4 structure (PBE-GGA, the Alexandria database).

Total moment = 0.58 μB per formula unit
Raw total energy = -71.08 eV/cell
DOS at the Fermi energy = 20.8 states/eV per cell

Lattice parameters (Å, degrees): 8.2431 8.2431 8.2431 90.00 90.00 90.00
Last column: nearest neighbours and their distance in Å.
Space group F-43m (No. 216)
One atom of each set of equivalent atoms:
Y: 0.0000 0.0000 0.0000  12 Cd 3.42, 4 Sc 3.57
Sc: 0.2500 0.2500 0.2500  12 Cd 3.42, 4 Y 3.57
Cd: 0.1249 0.1249 0.6249  6 Cd 2.91-2.92

No. 12
# Y4ScCd3

A geometry-optimized Y4ScCd3 structure (PBE-GGA, the Alexandria database).

Total moment = 0.53 μB per formula unit
Raw total energy = -109.89 eV/cell
DOS at the Fermi energy = 31.5 states/eV per cell

Lattice parameters (Å, degrees): 5.3147 5.3147 26.4502 90.00 90.00 120.00
Last column: nearest neighbours and their distance in Å.
Space group R-3m (No. 166, hexagonal axes)
One atom of each set of equivalent atoms:
Y: 0.0000 0.0000 0.1196  5 Cd 3.16-3.23, 3 Sc 3.31
Y: 0.0000 0.0000 0.3725  7 Cd 3.24-3.46, 1 Sc 3.37
Sc: 0.0000 0.0000 0.5000  8 Y 3.31-3.37, 6 Cd 3.66
Cd: 0.0000 0.0000 0.0000  8 Y 3.16-3.24
Cd: 0.0000 0.0000 0.2418  8 Y 3.16-3.46